Record 1
Density functional theory data (PBE-GGA) for a relaxed ScCoNiGe crystal.

POSCAR file:
```
ScCoNiGe
1.0
0.000 3.048 3.048
3.048 0.000 3.048
3.048 3.048 0.000
Ni Co Ge Sc
1 1 1 1
Direct
0.000 0.000 0.000
0.750 0.750 0.750
0.250 0.250 0.250
0.500 0.500 0.500
```

Results
total energy	-6.115	eV/atom
M_tot	0.38	μB per atom
V	14.16	Å³ per atom
crystal system	cubic
energy above the lowest structure with this stoichiometry	0.274	eV per atom

***

Record 2
Density functional theory data (PBE-GGA) for a relaxed CsYTa crystal.

POSCAR file:
```
CsYTa
1.0
1.318 -4.774 2.149
-3.443 -2.511 3.315
-2.529 -4.483 -1.627
Y Ta Cs
1 1 1
Direct
0.750 0.750 0.750
0.000 0.000 0.000
0.250 0.250 0.250
```

Results
total energy	-4.515	eV/atom
M_tot	1.03	μB per atom
V	37.09	Å³ per atom
crystal system	cubic
energy above the lowest structure with this stoichiometry	0.000	eV per atom

***

Record 3
Density functional theory data (PBE-GGA) for a relaxed TaCuBW crystal.

POSCAR file:
```
TaCuBW
1.0
0.000 3.028 3.028
3.028 0.000 3.028
3.028 3.028 0.000
Ta W B Cu
1 1 1 1
Direct
0.500 0.500 0.500
0.250 0.250 0.250
0.000 0.000 0.000
0.750 0.750 0.750
```

Results
total energy	-7.922	eV/atom
M_tot	0.00	μB per atom
V	13.89	Å³ per atom
crystal system	cubic
energy above the lowest structure with this stoichiometry	0.000	eV per atom

***

Record 4
Density functional theory data (PBE-GGA) for a relaxed DyMg crystal.

POSCAR file:
```
DyMg
1.0
17.881 0.074 0.000
0.029 6.830 0.000
0.000 0.000 5.402
Dy Mg
12 12
Direct
0.994 0.003 0.000
0.951 0.747 0.500
0.163 0.753 0.000
0.494 0.743 0.000
0.506 0.253 0.000
0.450 0.007 0.500
0.438 0.497 0.500
0.664 0.991 0.000
0.281 0.759 0.500
0.781 0.997 0.500
0.938 0.257 0.500
0.006 0.493 0.000
0.114 0.497 0.500
0.275 0.255 0.500
0.330 0.493 0.000
0.669 0.495 0.000
0.775 0.502 0.500
0.110 0.012 0.500
0.335 0.007 0.000
0.830 0.253 0.000
0.614 0.257 0.500
0.170 0.248 0.000
0.610 0.743 0.500
0.835 0.738 0.000
```

Results
total energy	-3.041	eV/atom
M_tot	0.00	μB per atom
V	27.49	Å³ per atom
crystal system	monoclinic

***

Record 5
Density functional theory data (PBE-GGA) for a relaxed LiY2FeC crystal.

POSCAR file:
```
LiY2FeC
1.0
4.990 0.000 0.000
0.000 4.990 0.000
0.000 0.000 3.673
C Li Fe Y
1 1 1 2
Direct
0.000 0.000 0.000
0.500 0.500 0.500
0.000 0.000 0.500
0.500 0.000 0.000
0.000 0.500 0.000
```

Results
total energy	-6.663	eV/atom
M_tot	0.00	μB per atom
V	18.29	Å³ per atom
crystal system	tetragonal

***

Record 6
Density functional theory data (PBE-GGA) for a relaxed Cs2RbAg3Bi2 crystal.

POSCAR file:
```
Cs2RbAg3Bi2
1.0
-5.729 4.001 5.168
0.156 7.053 5.076
-4.002 7.715 -0.045
Cs Bi Rb Ag
2 2 1 3
Direct
0.084 0.084 0.084
0.916 0.916 0.916
0.245 0.245 0.245
0.755 0.755 0.755
0.500 0.500 0.500
0.000 0.500 0.500
0.500 0.500 0.000
0.500 0.000 0.500
```

Results
total energy	-2.658	eV/atom
V	37.13	Å³ per atom
crystal system	trigonal

***

Record 7
Density functional theory data (PBE-GGA) for a relaxed TaGeNO crystal.

POSCAR file:
```
TaGeNO
1.0
-1.598 -2.767 0.000
0.000 0.000 6.509
-5.726 3.306 0.000
Ge N Ta O
2 2 2 2
Direct
0.500 0.986 0.239
0.500 0.486 0.761
0.000 0.813 0.369
0.000 0.313 0.631
0.000 0.506 0.389
0.000 0.006 0.611
0.500 0.949 0.763
0.500 0.449 0.237
```

Results
total energy	-8.271	eV/atom
M_tot	0.00	μB per atom
V	17.19	Å³ per atom
crystal system	orthorhombic
energy above the lowest structure with this stoichiometry	0.108	eV per atom

***

Record 8
Density functional theory data (PBE-GGA) for a relaxed ErNbB crystal.

POSCAR file:
```
ErNbB
1.0
0.000 2.971 2.971
2.971 0.000 2.971
2.971 2.971 0.000
Er Nb B
1 1 1
Direct
0.750 0.750 0.750
0.250 0.250 0.250
0.000 0.000 0.000
```

Results
total energy	-6.918	eV/atom
M_tot	0.00	μB per atom
V	17.48	Å³ per atom
crystal system	cubic
energy above the lowest structure with this stoichiometry	0.000	eV per atom

***

Record 9
Density functional theory data (PBE-GGA) for a relaxed SrZnSeO crystal.

POSCAR file:
```
SrZnSeO
1.0
6.191 0.000 0.000
0.000 9.094 0.000
0.000 0.000 5.969
Se Sr Zn O
4 4 4 4
Direct
0.996 0.335 0.560
0.496 0.665 0.560
0.004 0.665 0.060
0.504 0.335 0.060
0.500 0.315 0.561
0.000 0.685 0.561
0.000 0.315 0.061
0.500 0.685 0.061
0.900 0.931 0.987
0.100 0.069 0.487
0.600 0.931 0.487
0.400 0.069 0.987
0.391 0.060 0.642
0.609 0.940 0.142
0.109 0.060 0.142
0.891 0.940 0.642
```

Results
total energy	-4.564	eV/atom
V	21.00	Å³ per atom
crystal system	orthorhombic

***

Record 10
Density functional theory data (PBE-GGA) for a relaxed Nb2Ge3W4C3 crystal.

POSCAR file:
```
Nb2Ge3W4C3
1.0
4.784 -2.764 0.000
4.784 2.764 0.000
-3.180 0.000 12.567
W Nb C Ge
8 4 6 6
Direct
0.803 0.974 0.913
0.026 0.197 0.587
0.860 0.695 0.086
0.974 0.803 0.413
0.197 0.026 0.087
0.695 0.860 0.586
0.305 0.140 0.414
0.140 0.305 0.914
0.533 0.367 0.100
0.467 0.633 0.900
0.633 0.467 0.400
0.367 0.533 0.600
0.830 0.335 0.000
0.335 0.830 0.500
0.500 0.000 0.000
0.665 0.170 0.500
0.000 0.500 0.500
0.170 0.665 0.000
0.229 0.416 0.251
0.940 0.060 0.250
0.416 0.229 0.751
0.584 0.771 0.249
0.771 0.584 0.749
0.060 0.940 0.750
```

Results
total energy	-9.555	eV/atom
M_tot	0.00	μB per atom
V	13.85	Å³ per atom
crystal system	monoclinic

***

Record 11
Density functional theory data (PBE-GGA) for a relaxed RbAu3Se5 crystal.

POSCAR file:
```
RbAu3Se5
1.0
5.655 0.000 0.000
-2.827 4.897 0.000
0.000 0.000 8.232
Au Rb Se
3 1 5
Direct
0.000 0.500 0.500
0.500 0.500 0.500
0.500 0.000 0.500
0.000 0.000 0.000
0.667 0.333 0.863
0.667 0.333 0.137
0.000 0.000 0.500
0.333 0.667 0.137
0.333 0.667 0.863
```

Results
total energy	-3.185	eV/atom
V	25.33	Å³ per atom
crystal system	hexagonal

***

Record 12
Density functional theory data (PBE-GGA) for a relaxed Lu2Co3W4N3 crystal.

POSCAR file:
```
Lu2Co3W4N3
1.0
-2.937 3.651 -2.402
-3.794 -1.467 -3.343
-6.233 -1.110 11.705
W Co N Lu
8 6 6 4
Direct
0.972 0.805 0.411
0.137 0.305 0.911
0.805 0.972 0.911
0.195 0.028 0.089
0.305 0.137 0.411
0.863 0.695 0.089
0.695 0.863 0.589
0.028 0.195 0.589
0.923 0.077 0.750
0.586 0.906 0.250
0.906 0.586 0.750
0.094 0.414 0.250
0.414 0.094 0.750
0.077 0.923 0.250
0.500 0.000 0.000
0.191 0.654 0.000
0.809 0.346 0.000
0.346 0.809 0.500
0.000 0.500 0.500
0.654 0.191 0.500
0.543 0.378 0.127
0.378 0.543 0.627
0.622 0.457 0.373
0.457 0.622 0.873
```

Results
total energy	-9.313	eV/atom
M_tot	0.00	μB per atom
V	12.98	Å³ per atom
crystal system	monoclinic